1.
## Re2Hg3F8 (PBE)

Data for Re2Hg3F8 after structural relaxation.

Energy relative to the elements, uncorrected ... -1316 meV per atom
Space-group type ... R-3m

Cell lengths 5.9330, 5.9330, 10.9194 Å; angles 74.24, 74.24, 60.00 degrees
Fractional coordinates of all 13 atoms:
1 Hg 0.3029 0.3029 0.0913
2 Hg 0.6971 0.6971 0.9087
3 Hg 0.0000 0.0000 0.0000
4 F 0.2770 0.8160 0.6300
5 F 0.8160 0.2770 0.6300
6 F 0.1840 0.7230 0.3700
7 F 0.7230 0.1840 0.3700
8 F 0.3960 0.3960 0.8120
9 F 0.2770 0.2770 0.6300
10 F 0.6040 0.6040 0.1880
11 F 0.7230 0.7230 0.3700
12 Re 0.4622 0.4622 0.6134
13 Re 0.5378 0.5378 0.3866

***

2.
## Re2HgF (PBE)

Data for Re2HgF after structural relaxation.

Energy relative to the elements, uncorrected ... 591 meV per atom
Space-group type ... I-42d

Cell lengths 3.6392, 3.6392, 10.7798 Å; angles 80.28, 80.28, 90.00 degrees
Fractional coordinates of all 8 atoms:
1 Re 0.0901 0.1250 0.2500
2 Re 0.3750 0.9099 0.7500
3 Re 0.6599 0.6250 0.2500
4 Re 0.8750 0.3401 0.7500
5 F 0.2500 0.7500 0.5000
6 F 0.5000 0.5000 0.0000
7 Hg 0.0000 0.0000 0.0000
8 Hg 0.7500 0.2500 0.5000

***

3.
## ReHgF6 (PBE)

Data for ReHgF6 after structural relaxation.

Energy relative to the elements, uncorrected ... -1851 meV per atom
Space-group type ... C2/m

Cell lengths 5.4273, 5.4273, 5.8548 Å; angles 97.44, 97.44, 98.20 degrees
Fractional coordinates of all 8 atoms:
1 F 0.6550 0.6550 0.2742
2 F 0.8177 0.4988 0.6726
3 F 0.3450 0.3450 0.7258
4 F 0.5012 0.1823 0.3274
5 F 0.1823 0.5012 0.3274
6 F 0.4988 0.8177 0.6726
7 Hg 0.0000 0.0000 0.0000
8 Re 0.5000 0.5000 0.5000

***

4.
## ReHgF3 (PBE)

Data for ReHgF3 after structural relaxation.

Energy relative to the elements, uncorrected ... -863 meV per atom
Space-group type ... Pm-3m

Cell lengths 4.2813, 4.2813, 4.2813 Å; angles 90.00, 90.00, 90.00 degrees
Fractional coordinates of all 5 atoms:
1 Hg 0.5000 0.5000 0.5000
2 Re 0.0000 0.0000 0.0000
3 F 0.5000 0.0000 0.0000
4 F 0.0000 0.0000 0.5000
5 F 0.0000 0.5000 0.0000

***

5.
## ReHg2F2 (PBE)

Data for ReHg2F2 after structural relaxation.

Energy relative to the elements, uncorrected ... 119 meV per atom
Space-group type ... P4/mbm

Cell lengths 7.7591, 7.7591, 2.7416 Å; angles 90.00, 90.00, 90.00 degrees
Fractional coordinates of all 10 atoms:
1 Hg 0.1629 0.3371 0.0000
2 Hg 0.8371 0.6629 0.0000
3 Hg 0.3371 0.8371 0.0000
4 Hg 0.6629 0.1629 0.0000
5 Re 0.5000 0.5000 0.0000
6 Re 0.0000 0.0000 0.0000
7 F 0.8783 0.3783 0.5000
8 F 0.3783 0.1217 0.5000
9 F 0.1217 0.6217 0.5000
10 F 0.6217 0.8783 0.5000

***

6.
## Re2HgF (PBE)

Data for Re2HgF after structural relaxation.

Energy relative to the elements, uncorrected ... 1200 meV per atom
Space-group type ... Fm-3m

Cell lengths 4.4271, 4.4271, 4.4271 Å; angles 60.00, 60.00, 60.00 degrees
Fractional coordinates of all 4 atoms:
1 F 0.0000 0.0000 0.0000
2 Re 0.7500 0.7500 0.7500
3 Re 0.2500 0.2500 0.2500
4 Hg 0.5000 0.5000 0.5000

***

7.
## ReHg3F6 (PBE)

Data for ReHg3F6 after structural relaxation.

Energy relative to the elements, uncorrected ... -1533 meV per atom
Space-group type ... P-31m

Cell lengths 5.2928, 5.2928, 7.7183 Å; angles 90.00, 90.00, 120.00 degrees
Fractional coordinates of all 10 atoms:
1 F 0.7103 0.0000 0.1490
2 F 0.0000 0.2897 0.8510
3 F 0.7103 0.7103 0.8510
4 F 0.2897 0.0000 0.8510
5 F 0.2897 0.2897 0.1490
6 F 0.0000 0.7103 0.1490
7 Re 0.0000 0.0000 0.0000
8 Hg 0.0000 0.0000 0.5000
9 Hg 0.3333 0.6667 0.5000
10 Hg 0.6667 0.3333 0.5000

***

8.
## ReHgF2 (PBE)

Data for ReHgF2 after structural relaxation.

Energy relative to the elements, uncorrected ... -1005 meV per atom
Space-group type ... R-3m

Cell lengths 9.3843, 9.3843, 9.3843 Å; angles 17.28, 17.28, 17.28 degrees
Fractional coordinates of all 4 atoms:
1 Re 0.0000 0.0000 0.0000
2 Hg 0.5000 0.5000 0.5000
3 F 0.9308 0.9308 0.9308
4 F 0.0692 0.0692 0.0692

***

9.
## ReHgF2 (PBE)

Data for ReHgF2 after structural relaxation.

Energy relative to the elements, uncorrected ... 220 meV per atom
Space-group type ... Fm-3m

Cell lengths 4.4710, 4.4710, 4.4710 Å; angles 60.00, 60.00, 60.00 degrees
Fractional coordinates of all 4 atoms:
1 F 0.2500 0.2500 0.2500
2 F 0.7500 0.7500 0.7500
3 Hg 0.5000 0.5000 0.5000
4 Re 0.0000 0.0000 0.0000

***

10.
## Re2HgRhF (PBE)

Data for Re2HgRhF after structural relaxation.

Energy relative to the elements, uncorrected ... 1162 meV per atom
Space-group type ... P4/mmm

Cell lengths 4.0307, 4.9202, 4.0307 Å; angles 90.00, 90.00, 90.00 degrees
Fractional coordinates of all 5 atoms:
1 Hg 0.0000 0.5000 0.0000
2 Rh 0.5000 0.5000 0.5000
3 Re 0.0000 0.0000 0.5000
4 Re 0.5000 0.0000 0.0000
5 F 0.0000 0.0000 0.0000

***

11.
## HgRh2F11 (PBE)

Data for HgRh2F11 after structural relaxation.

Energy relative to the elements, uncorrected ... -1367 meV per atom
Space-group type ... Ibam

Cell lengths 8.9377, 8.1819, 8.1819 Å; angles 66.54, 56.89, 56.89 degrees
Fractional coordinates of all 28 atoms:
1 F 0.9010 0.4198 0.3170
2 F 0.5000 0.5000 0.5000
3 F 0.1377 0.0802 0.1830
4 F 0.6864 0.6355 0.1003
5 F 0.8069 0.8038 0.1962
6 F 0.8136 0.3997 0.8645
7 F 0.3069 0.6962 0.3038
8 F 0.9222 0.8645 0.3997
9 F 0.3623 0.3170 0.4198
10 F 0.0990 0.5802 0.6830
11 F 0.6377 0.6830 0.5802
12 F 0.4222 0.8997 0.3645
13 F 0.5778 0.1003 0.6355
14 F 0.3136 0.3645 0.8997
15 F 0.1931 0.1962 0.8038
16 F 0.5990 0.1830 0.0802
17 F 0.1864 0.6003 0.1355
18 F 0.0000 0.0000 0.0000
19 F 0.0778 0.1355 0.6003
20 F 0.8623 0.9198 0.8170
21 F 0.6931 0.3038 0.6962
22 F 0.4010 0.8170 0.9198
23 Rh 0.3396 0.3413 0.6587
24 Rh 0.8396 0.1587 0.8413
25 Rh 0.6604 0.6587 0.3413
26 Rh 0.1604 0.8413 0.1587
27 Hg 0.2500 0.2500 0.2500
28 Hg 0.7500 0.7500 0.7500

***

12.
## HgRh2F (PBE)

Data for HgRh2F after structural relaxation.

Energy relative to the elements, uncorrected ... 139 meV per atom
Space-group type ... I-42d

Cell lengths 3.6663, 3.6663, 10.2718 Å; angles 79.72, 79.72, 90.00 degrees
Fractional coordinates of all 8 atoms:
1 Rh 0.3750 0.3810 0.7500
2 Rh 0.8750 0.8690 0.7500
3 Rh 0.1310 0.6250 0.2500
4 Rh 0.6190 0.1250 0.2500
5 F 0.5000 0.5000 0.0000
6 F 0.2500 0.7500 0.5000
7 Hg 0.0000 0.0000 0.0000
8 Hg 0.7500 0.2500 0.5000

***

13.
## HgRhF6 (PBE)

Data for HgRhF6 after structural relaxation.

Energy relative to the elements, uncorrected ... -1471 meV per atom
Space-group type ... R-3

Cell lengths 5.2767, 5.2745, 5.8188 Å; angles 62.99, 62.96, 59.94 degrees
Fractional coordinates of all 8 atoms:
1 F 0.7143 0.4419 0.7291
2 F 0.5581 0.8859 0.2706
3 F 0.2857 0.5581 0.2709
4 F 0.4419 0.1141 0.7294
5 F 0.1140 0.7147 0.7297
6 F 0.8860 0.2853 0.2703
7 Rh 0.5000 0.5000 0.5000
8 Hg 0.0000 0.0000 0.0000

***

14.
## Hg2RhF (PBE)

Data for Hg2RhF after structural relaxation.

Energy relative to the elements, uncorrected ... -176 meV per atom
Space-group type ... I-42d

Cell lengths 7.1421, 7.1421, 5.8275 Å; angles 52.21, 52.21, 90.00 degrees
Fractional coordinates of all 8 atoms:
1 Hg 0.3750 0.4009 0.7500
2 Hg 0.8750 0.8491 0.7500
3 Hg 0.1509 0.6250 0.2500
4 Hg 0.5991 0.1250 0.2500
5 Rh 0.7500 0.2500 0.5000
6 Rh 0.0000 0.0000 0.0000
7 F 0.5000 0.5000 0.0000
8 F 0.2500 0.7500 0.5000

***

15.
## HgRh3F (PBE)

Data for HgRh3F after structural relaxation.

Energy relative to the elements, uncorrected ... 574 meV per atom
Space-group type ... Pm-3m

Cell lengths 4.3230, 4.3230, 4.3230 Å; angles 90.00, 90.00, 90.00 degrees
Fractional coordinates of all 5 atoms:
1 Hg 0.5000 0.5000 0.5000
2 F 0.0000 0.0000 0.0000
3 Rh 0.5000 0.0000 0.0000
4 Rh 0.0000 0.5000 0.0000
5 Rh 0.0000 0.0000 0.5000

***

16.
## Hg3RhF (PBE)

Data for Hg3RhF after structural relaxation.

Energy relative to the elements, uncorrected ... 294 meV per atom
Space-group type ... Pm-3m

Cell lengths 4.7144, 4.7144, 4.7144 Å; angles 90.00, 90.00, 90.00 degrees
Fractional coordinates of all 5 atoms:
1 F 0.0000 0.0000 0.0000
2 Rh 0.5000 0.5000 0.5000
3 Hg 0.5000 0.0000 0.0000
4 Hg 0.0000 0.0000 0.5000
5 Hg 0.0000 0.5000 0.0000

***

17.
## Hg6RhF12 (PBE)

Data for Hg6RhF12 after structural relaxation.

Energy relative to the elements, uncorrected ... -1303 meV per atom
Space-group type ... R-3

Cell lengths 6.9479, 6.9479, 6.9479 Å; angles 98.45, 98.45, 98.45 degrees
Fractional coordinates of all 19 atoms:
1 Hg 0.1386 0.6098 0.3035
2 Hg 0.3035 0.1386 0.6098
3 Hg 0.6965 0.8614 0.3902
4 Hg 0.6098 0.3035 0.1386
5 Hg 0.8614 0.3902 0.6965
6 Hg 0.3902 0.6965 0.8614
7 F 0.4028 0.8275 0.5718
8 F 0.4282 0.5972 0.1725
9 F 0.0602 0.9697 0.2859
10 F 0.7141 0.9398 0.0303
11 F 0.1725 0.4282 0.5972
12 F 0.0303 0.7141 0.9398
13 F 0.8275 0.5718 0.4028
14 F 0.9398 0.0303 0.7141
15 F 0.9697 0.2859 0.0602
16 F 0.5972 0.1725 0.4282
17 F 0.5718 0.4028 0.8275
18 F 0.2859 0.0602 0.9697
19 Rh 0.0000 0.0000 0.0000

***

18.
## HgRh2F (PBE)

Data for HgRh2F after structural relaxation.

Energy relative to the elements, uncorrected ... 291 meV per atom
Space-group type ... Fm-3m

Cell lengths 4.4734, 4.4734, 4.4734 Å; angles 60.00, 60.00, 60.00 degrees
Fractional coordinates of all 4 atoms:
1 Rh 0.2500 0.2500 0.2500
2 Rh 0.7500 0.7500 0.7500
3 F 0.0000 0.0000 0.0000
4 Hg 0.5000 0.5000 0.5000

***

19.
## Hg2RhF8 (PBE)

Data for Hg2RhF8 after structural relaxation.

Energy relative to the elements, uncorrected ... -1447 meV per atom
Space-group type ... C2/m

Cell lengths 4.7163, 6.1536, 6.1536 Å; angles 76.59, 105.68, 105.68 degrees
Fractional coordinates of all 11 atoms:
1 F 0.7401 0.0357 0.6904
2 F 0.1904 0.4109 0.4109
3 F 0.7401 0.6904 0.0357
4 F 0.2529 0.8817 0.8817
5 F 0.2599 0.9642 0.3096
6 F 0.2599 0.3096 0.9642
7 F 0.7471 0.1183 0.1183
8 F 0.8096 0.5891 0.5891
9 Hg 0.3610 0.6587 0.6587
10 Hg 0.6390 0.3413 0.3413
11 Rh 0.0000 0.0000 0.0000

***

20.
## HgRh3F (PBE)

Data for HgRh3F after structural relaxation.

Energy relative to the elements, uncorrected ... 1621 meV per atom
Space-group type ... Pm-3m

Cell lengths 5.1017, 5.1017, 5.1017 Å; angles 90.00, 90.00, 90.00 degrees
Fractional coordinates of all 5 atoms:
1 Hg 0.0000 0.0000 0.0000
2 Rh 0.5000 0.0000 0.0000
3 Rh 0.0000 0.5000 0.0000
4 Rh 0.0000 0.0000 0.5000
5 F 0.5000 0.5000 0.5000

***

Ordered Fermi-level density of states results: 5.2 3.5 7.1 2.4 1.7 6.1 10.3 1.8 2.5 6.2 10.6 4.2 7.8 2.6 4.3 1.3 3.6 5.3 6.0 9.3; unit states/eV/f.u..